Computed, not measured: HfBeCu2Ru after structural relaxation at the PBE-GGA level of DFT.

```
HfBeCu2Ru
1.0
3.9291 0.0000 0.0000
0.0000 3.9291 0.0000
0.0000 0.0000 4.7172
Hf Be Cu Ru
1 1 2 1
Cartesian
0.0000 0.0000 0.0000 Hf
0.0000 0.0000 2.3586 Be
0.0000 1.9646 2.3586 Cu
1.9646 0.0000 2.3586 Cu
1.9646 1.9646 0.0000 Ru
```

Calculated values
Total magnetic moment in μB/f.u.: 0.0
Fermi-level density of states in states/eV/f.u.: 2.28
Energy relative to the elements in meV/atom: 439
Space group: P4/mmm (123)
DFT total energy in eV per atom: -5.791



Computed, not measured: Tb4Tm2Pb3O2 after structural relaxation at the PBE-GGA level of DFT.

```
Tb4Tm2Pb3O2
1.0
-2.3455 2.3455 12.5577
2.3455 -2.3455 12.5577
2.3455 2.3455 -12.5577
Tb Tm Pb O
4 2 3 2
Cartesian
2.3455 0.0000 2.1260 Tb
2.3455 0.0000 10.4317 Tb
0.0000 2.3455 2.1260 Tb
0.0000 2.3455 10.4317 Tb
0.0000 0.0000 4.8285 Tm
0.0000 0.0000 20.2869 Tm
0.0000 0.0000 7.9940 Pb
0.0000 0.0000 12.5577 Pb
0.0000 0.0000 17.1215 Pb
0.0000 0.0000 2.5696 O
0.0000 0.0000 22.5459 O
```

Calculated values
Total magnetic moment in μB/f.u.: 0.0
Fermi-level density of states in states/eV/f.u.: 4.30
Space group: I4/mmm (139)
DFT total energy in eV per atom: -5.778
Formation energy from raw total energies in eV/atom: -1.369